A relaxed structure of Cs2GeAs2, computed with PBE-GGA.

```
10
Lattice="7.285 0.000 0.000 -3.642 7.599 -1.766 0.000 -5.827 9.947" Properties=species:S:1:pos:R:3 pbc="T T T"
Cs 3.642 -0.509 4.763
Cs 0.000 2.282 3.418
Cs 0.000 -3.354 7.977
Cs 3.642 5.127 0.204
Ge 0.000 0.729 7.011
Ge 3.642 1.043 1.170
As 0.000 -0.858 5.360
As 3.642 2.630 2.821
As 0.000 6.187 -0.529
As 3.642 -4.414 8.710
```

Calculated formation energy = -0.337 eV/atom
Total moment = 0.000 μB per atom

=====

A relaxed structure of Ta7Al2Ga2, computed with PBE-GGA.

```
11
Lattice="-5.340 2.938 -1.679 -2.262 -4.563 0.526 -0.233 0.358 6.307" Properties=species:S:1:pos:R:3 pbc="T T T"
Ta -1.179 -0.615 3.567
Ta -4.788 -1.757 0.035
Ta -6.656 -0.652 1.587
Ta -3.047 0.490 5.119
Ta 0.000 0.000 0.000
Ta -4.302 -1.833 2.969
Ta -3.533 0.566 2.185
Al -5.662 0.398 4.026
Al -2.173 -1.665 1.128
Ga -4.957 1.095 0.094
Ga -2.878 -2.362 5.060
```

Calculated formation energy = 0.180 eV/atom
Total moment = 0.000 μB per atom

=====

A relaxed structure of Mg2SbRh, computed with PBE-GGA.

```
4
Lattice="9.302 0.002 0.001 8.713 3.258 0.001 8.713 1.576 2.851" Properties=species:S:1:pos:R:3 pbc="T T T"
Mg 0.057 0.010 0.006
Mg 6.310 1.142 0.673
Rh 13.280 2.403 1.417
Sb 20.445 3.699 2.182
```

Total moment = 0.000 μB per atom
Formation energy from raw total energies = -0.666 eV per formula unit

=====

A relaxed structure of La7Cd2Ru2, computed with PBE-GGA.

```
11
Lattice="3.899 0.000 0.711 1.203 8.900 4.450 0.188 0.412 10.013" Properties=species:S:1:pos:R:3 pbc="T T T"
La 3.351 0.865 3.715
La 3.964 4.034 11.398
La 2.167 0.664 10.203
La 3.103 4.247 5.076
La 2.401 6.854 8.926
La 1.745 6.828 12.521
La 0.835 1.175 6.465
Cd 0.954 6.820 5.814
Cd 2.505 3.490 8.351
Ru 4.018 7.837 11.101
Ru 1.444 2.919 3.127
```

Calculated formation energy = -0.233 eV/atom
Energy relative to the lowest polymorph listed for this composition = 0.0 meV per atom
Total moment = 0.000 μB per atom

=====

A relaxed structure of ErTmSe3, computed with PBE-GGA.

```
10
Lattice="3.998 0.000 0.000 0.000 7.962 0.524 0.000 -1.248 8.009" Properties=species:S:1:pos:R:3 pbc="T T T"
Er 0.999 2.774 2.042
Er 2.998 3.940 6.491
Tm 0.999 6.414 3.007
Tm 2.998 0.300 5.526
Se 2.998 4.457 3.443
Se 0.999 2.257 5.090
Se 2.998 1.313 8.031
Se 0.999 6.260 5.905
Se 0.999 5.401 0.502
Se 2.998 0.454 2.628
```

Energy relative to the lowest polymorph listed for this composition = 30.4 meV per atom
Total moment = 0.000 μB per atom
Formation energy from raw total energies = -9.055 eV per formula unit

=====

A relaxed structure of Zn2BiPb, computed with PBE-GGA.

```
4
Lattice="-3.342 0.156 -1.704 -0.169 -5.094 -0.136 -2.317 -0.044 4.541" Properties=species:S:1:pos:R:3 pbc="T T T"
Pb -1.671 0.078 -0.852
Zn -1.159 -0.022 2.271
Zn -0.084 -2.547 -0.068
Bi -2.914 -2.491 1.351
```

Calculated formation energy = 0.176 eV/atom
Energy relative to the lowest polymorph listed for this composition = 8.0 meV per atom
Total moment = 0.000 μB per atom